Entry 1:
The following is a DFT calculation (PBE) of a relaxed Mn3Ru crystal.

extended XYZ file:
```
4
Lattice="2.5846 0.0000 0.0000 -1.2923 2.2383 0.0000 0.0000 0.0000 8.0698" Properties=species:S:1:pos:R:3 pbc="T T T"
Mn 0.0000 0.0000 0.0721
Mn 0.0000 0.0000 3.9628
Mn 0.0000 1.4922 2.0174
Ru 0.0000 1.4922 6.0523
```

Summary:
Energy relative to the elements = 0.091 eV/atom
Total DFT energy (no corrections) = -9.10 eV per atom
Fermi-level density of states = 5.21 states/eV per cell

=====

Entry 2:
The following is a DFT calculation (PBE) of a relaxed Mn8Ru crystal.

extended XYZ file:
```
9
Lattice="-3.8824 3.8824 1.8423 3.8824 -3.8824 1.8423 3.8824 3.8824 -1.8423" Properties=species:S:1:pos:R:3 pbc="T T T"
Mn 0.0000 5.2174 0.0000
Mn 1.3042 1.3042 1.8423
Mn 0.0000 2.5474 0.0000
Mn 5.2174 0.0000 0.0000
Mn -1.3043 1.3043 1.8423
Mn 2.5474 0.0000 0.0000
Mn 1.3043 -1.3043 1.8423
Mn 2.5782 2.5782 0.0000
Ru 0.0000 0.0000 0.0000
```

Summary:
Energy relative to the elements = 0.071 eV/atom
Total DFT energy (no corrections) = -9.11 eV per atom
Fermi-level density of states = 7.45 states/eV per cell

=====

Entry 3:
The following is a DFT calculation (PBE) of a relaxed Mn3Ru crystal.

extended XYZ file:
```
8
Lattice="-1.1729 3.2980 2.2276 -4.5758 -0.8948 -1.0845 -0.4062 -2.9417 4.1412" Properties=species:S:1:pos:R:3 pbc="T T T"
Mn -1.2069 -0.6796 0.3706
Mn -2.8743 1.2016 0.5716
Mn -0.5864 1.6490 1.1138
Mn -3.7751 -3.1569 2.6861
Mn -4.2471 -0.6793 2.6334
Mn -1.9078 0.1408 2.6509
Ru -3.5641 -1.6285 0.5345
Ru -1.4180 -2.2079 2.5222
```

Summary:
Energy relative to the elements = 0.231 eV/atom
Total DFT energy (no corrections) = -8.97 eV per atom
Fermi-level density of states = 11.27 states/eV per cell

=====

Entry 4:
The following is a DFT calculation (PBE) of a relaxed MnRu3 crystal.

extended XYZ file:
```
8
Lattice="-0.2297 0.8142 4.7342 2.6182 -3.9525 0.8068 4.0274 2.6159 -0.2545" Properties=species:S:1:pos:R:3 pbc="T T T"
Ru 1.1368 -1.3656 3.9540
Ru 0.8920 1.0611 2.3034
Ru 3.9774 -1.6564 0.4778
Ru 2.9057 2.3690 2.1762
Ru 1.2517 -1.7727 1.5869
Ru 2.6683 0.3198 0.0744
Mn 3.2080 -0.2612 2.6432
Mn 0.0000 0.0000 0.0000
```

Summary:
Energy relative to the elements = 0.323 eV/atom
Total DFT energy (no corrections) = -8.93 eV per atom
Fermi-level density of states = 12.77 states/eV per cell

=====

The records above give, respectively, size of the total moment values of 0.004; 0.116; 0.585; 0.456 μB/atom.